Crystalline ZrZnH3 at its relaxed geometry. Source: the Alexandria database, functional PBE-GGA.

The structure in POSCAR format:
```
ZrZnH3
1.0
-0.892 2.763 2.037
-1.102 -2.224 2.534
3.251 0.005 1.417
Zn H Zr
1 3 1
Cartesian
0.000 0.000 0.000
-0.551 -1.112 1.267
1.626 0.002 0.709
-0.446 1.382 1.018
0.629 0.272 2.994
```

Results
total energy = -3.755 eV per atom
SG = No. 221
calculated volume = 44.62 Å³ per cell
total magnetic moment = 0.00 Bohr magnetons per cell


Crystalline Mg2Al9Zn at its relaxed geometry. Source: the Alexandria database, functional PBE-GGA.

The structure in POSCAR format:
```
Mg2Al9Zn
1.0
4.102 0.000 0.000
0.000 4.102 0.000
0.000 0.000 12.303
Al Mg Zn
9 2 1
Cartesian
0.000 2.051 6.151
0.000 2.051 10.327
2.051 2.051 8.267
2.051 2.051 4.036
2.051 2.051 0.000
2.051 0.000 10.327
2.051 0.000 1.976
2.051 0.000 6.151
0.000 2.051 1.976
0.000 0.000 8.232
0.000 0.000 4.070
0.000 0.000 0.000
```

Results
DFT formation energy = 0.017 eV per atom
total energy = -3.162 eV per atom
SG = No. 123
calculated volume = 207.05 Å³ per cell
total magnetic moment = 0.00 Bohr magnetons per cell


Crystalline GeRuO2F at its relaxed geometry. Source: the Alexandria database, functional PBE-GGA.

The structure in POSCAR format:
```
GeRuO2F
1.0
3.947 0.000 0.000
0.000 3.947 0.000
0.000 0.000 4.262
F Ru Ge O
1 1 1 2
Cartesian
0.000 0.000 2.131
0.000 0.000 0.000
1.974 1.974 2.131
1.974 0.000 0.000
0.000 1.974 0.000
```

Results
total energy = -5.760 eV per atom
SG = No. 123
E_form (uncorrected) = -3.12 eV per formula unit
calculated volume = 66.39 Å³ per cell
total magnetic moment = 1.77 Bohr magnetons per cell


Crystalline CeCr2H8 at its relaxed geometry. Source: the Alexandria database, functional PBE-GGA.

The structure in POSCAR format:
```
CeCr2H8
1.0
4.517 0.057 -0.036
-0.067 3.944 -2.165
0.038 -0.202 4.495
Cr H Ce
2 8 1
Cartesian
2.636 2.815 0.116
2.672 1.384 2.414
1.401 2.349 -1.031
2.677 0.154 1.133
3.919 0.163 2.512
1.457 0.132 2.531
2.653 1.123 -0.422
1.527 2.180 1.333
3.863 2.381 -1.051
3.779 2.209 1.315
0.409 0.289 0.174
```

Results
total energy = -4.913 eV per atom
SG = No. 38
calculated volume = 78.12 Å³ per cell
total magnetic moment = 3.11 Bohr magnetons per cell


Crystalline La2Zr at its relaxed geometry. Source: the Alexandria database, functional PBE-GGA.

The structure in POSCAR format:
```
La2Zr
1.0
-2.138 7.039 1.182
-4.098 -0.200 -6.220
-5.844 -2.435 3.929
Zr La
4 8
Cartesian
0.000 0.000 0.000
-4.971 -1.317 -1.145
-3.991 2.302 2.555
-3.118 3.419 -2.519
-3.998 1.458 -0.367
-5.823 4.131 -3.713
-6.256 0.273 2.604
-8.082 2.947 -0.742
-4.121 5.371 -0.412
-5.701 0.218 -3.668
-7.959 -0.967 -0.697
-6.379 4.186 2.559
```

Results
DFT formation energy = 0.586 eV per atom
energy above the most stable polymorph in this dataset = 0.463 eV/atom
total energy = -5.548 eV per atom
SG = No. 205
calculated volume = 413.64 Å³ per cell
total magnetic moment = 0.00 Bohr magnetons per cell


Crystalline TlIrPb3 at its relaxed geometry. Source: the Alexandria database, functional PBE-GGA.

The structure in POSCAR format:
```
TlIrPb3
1.0
-2.243 0.856 -4.815
3.691 -3.180 -2.285
-3.209 -4.255 0.739
Pb Ir Tl
3 1 1
Cartesian
-1.122 0.428 -2.408
-1.605 -2.128 0.369
1.845 -1.590 -1.142
0.000 0.000 0.000
-0.881 -3.290 -3.181
```

Results
DFT formation energy = 0.247 eV per atom
energy above the most stable polymorph in this dataset = 0.000 eV/atom
total energy = -4.223 eV per atom
SG = No. 221
calculated volume = 155.79 Å³ per cell
total magnetic moment = 0.00 Bohr magnetons per cell


Crystalline Ac5La2Tb2 at its relaxed geometry. Source: the Alexandria database, functional PBE-GGA.

The structure in POSCAR format:
```
Ac5La2Tb2
1.0
6.608 0.916 -0.071
-2.701 3.152 -3.500
-0.177 -5.176 20.710
Tb La Ac
2 2 5
Cartesian
3.654 -0.771 13.298
0.076 -0.336 3.841
3.453 -0.078 5.665
0.276 -1.029 11.475
3.730 -1.108 17.139
3.333 0.298 1.901
0.196 -0.684 7.639
3.533 -0.423 9.501
0.397 -1.406 15.237
```

Results
DFT formation energy = 0.045 eV per atom
total energy = -4.361 eV per atom
SG = No. 2
calculated volume = 362.40 Å³ per cell
total magnetic moment = 0.00 Bohr magnetons per cell


Crystalline YZn4Co at its relaxed geometry. Source: the Alexandria database, functional PBE-GGA.

The structure in POSCAR format:
```
YZn4Co
1.0
5.111 0.000 0.000
2.556 4.427 0.000
2.556 1.476 4.173
Zn Co Y
4 1 1
Cartesian
5.111 1.491 2.603
3.847 3.681 2.603
6.376 3.681 2.603
5.111 2.951 0.538
2.556 1.476 1.043
0.000 0.000 0.000
```

Results
DFT formation energy = -0.179 eV per atom
energy above the most stable polymorph in this dataset = 0.056 eV/atom
total energy = -3.290 eV per atom
SG = No. 216
calculated volume = 94.42 Å³ per cell
total magnetic moment = 0.00 Bohr magnetons per cell


Crystalline RbFeTc3 at its relaxed geometry. Source: the Alexandria database, functional PBE-GGA.

The structure in POSCAR format:
```
RbFeTc3
1.0
4.624 0.000 0.000
0.000 4.624 0.000
0.000 0.000 4.624
Rb Tc Fe
1 3 1
Cartesian
2.312 2.312 2.312
0.000 2.312 0.000
2.312 0.000 0.000
0.000 0.000 2.312
0.000 0.000 0.000
```

Results
DFT formation energy = 1.672 eV per atom
total energy = -6.433 eV per atom
SG = No. 221
calculated volume = 98.89 Å³ per cell
total magnetic moment = 2.70 Bohr magnetons per cell